# 1
This record from Alexandria describes a geometry-optimized La2ZnGe4Ir3 structure. The functional is PBE-GGA.

Cell: 4.3480 4.3480 10.2531 Å, 90.00 90.00 90.00°
Sites, in units of the cell vectors:
La  0.0000  0.5000  0.2427
La  0.5000  0.0000  0.7573
Zn  0.0000  0.0000  0.5000
Ge  0.0000  0.0000  0.0000
Ge  0.0000  0.5000  0.6363
Ge  0.5000  0.0000  0.3637
Ge  0.5000  0.5000  0.0000
Ir  0.0000  0.5000  0.8770
Ir  0.5000  0.0000  0.1230
Ir  0.5000  0.5000  0.5000

E_form in eV/atom: -0.7049



# 2
This record from Alexandria describes a geometry-optimized La2ZrGe4Ir3 structure. The functional is PBE-GGA.

Cell: 4.2897 4.2897 10.9591 Å, 90.00 90.00 90.00°
Sites, in units of the cell vectors:
La  0.0000  0.5000  0.2353
La  0.5000  0.0000  0.7647
Zr  0.0000  0.0000  0.5000
Ge  0.0000  0.0000  0.0000
Ge  0.0000  0.5000  0.6533
Ge  0.5000  0.0000  0.3467
Ge  0.5000  0.5000  0.0000
Ir  0.0000  0.5000  0.8812
Ir  0.5000  0.0000  0.1188
Ir  0.5000  0.5000  0.5000

E_form in eV/atom: -0.7867



# 3
This record from Alexandria describes a geometry-optimized LiGeIr2 structure. The functional is PBE-GGA.

Cell: 7.3060 7.3060 4.9923 Å, 90.00 90.00 90.00°
Sites, in units of the cell vectors:
Li  0.0000  0.0000  0.0000
Li  0.0000  0.5000  0.2500
Li  0.5000  0.0000  0.7500
Li  0.5000  0.5000  0.5000
Ge  0.0000  0.0000  0.5000
Ge  0.0000  0.5000  0.7500
Ge  0.5000  0.0000  0.2500
Ge  0.5000  0.5000  0.0000
Ir  0.1902  0.7500  0.6250
Ir  0.2500  0.1902  0.3750
Ir  0.2500  0.3098  0.8750
Ir  0.3098  0.7500  0.1250
Ir  0.6902  0.2500  0.1250
Ir  0.7500  0.6902  0.8750
Ir  0.7500  0.8098  0.3750
Ir  0.8098  0.2500  0.6250

E_form in eV/atom: 0.1549



# 4
This record from Alexandria describes a geometry-optimized Li6GeIr2 structure. The functional is PBE-GGA.

Cell: 5.0157 5.0157 5.0157 Å, 97.40 97.40 97.40°
Sites, in units of the cell vectors:
Li  0.0000  0.3280  0.6720
Li  0.0000  0.6720  0.3280
Li  0.3280  0.0000  0.6720
Li  0.3280  0.6720  0.0000
Li  0.6720  0.0000  0.3280
Li  0.6720  0.3280  0.0000
Ge  0.5000  0.5000  0.5000
Ir  0.1704  0.1704  0.1704
Ir  0.8296  0.8296  0.8296

E_form in eV/atom: -0.2695



# 5
This record from Alexandria describes a geometry-optimized Li3Ge2Ir2 structure. The functional is PBE-GGA.

Cell: 6.6253 6.6253 6.6253 Å, 37.59 37.59 37.59°
Sites, in units of the cell vectors:
Li  0.0000  0.0000  0.0000
Li  0.1432  0.1432  0.1432
Li  0.8568  0.8568  0.8568
Ge  0.2789  0.2789  0.2789
Ge  0.7211  0.7211  0.7211
Ir  0.4176  0.4176  0.4176
Ir  0.5824  0.5824  0.5824

E_form in eV/atom: -0.4185



# 6
This record from Alexandria describes a geometry-optimized Li2Ge4Ir structure. The functional is PBE-GGA.

Cell: 4.7862 4.7862 13.0695 Å, 90.00 90.00 90.00°
Sites, in units of the cell vectors:
Li  0.0000  0.0000  0.1158
Li  0.0000  0.0000  0.8842
Li  0.5000  0.5000  0.3842
Li  0.5000  0.5000  0.6158
Ge  0.0000  0.0000  0.3028
Ge  0.0000  0.0000  0.6972
Ge  0.0000  0.5000  0.0000
Ge  0.0000  0.5000  0.5000
Ge  0.5000  0.0000  0.0000
Ge  0.5000  0.0000  0.5000
Ge  0.5000  0.5000  0.1972
Ge  0.5000  0.5000  0.8028
Ir  0.0000  0.0000  0.5000
Ir  0.5000  0.5000  0.0000

E_form in eV/atom: 0.1832



# 7
This record from Alexandria describes a geometry-optimized Li6GeIr2 structure. The functional is PBE-GGA.

Cell: 7.4224 7.4224 2.9626 Å, 93.97 93.97 123.45°
Sites, in units of the cell vectors:
Li  0.0024  0.6504  0.6528
Li  0.1849  0.1849  0.8684
Li  0.3496  0.9976  0.3472
Li  0.6504  0.0024  0.6528
Li  0.8151  0.8151  0.1316
Li  0.9976  0.3496  0.3472
Ge  0.5000  0.5000  0.5000
Ir  0.3509  0.6491  0.0000
Ir  0.6491  0.3509  0.0000

E_form in eV/atom: -0.1503



# 8
This record from Alexandria describes a geometry-optimized LiGeIr structure. The functional is PBE-GGA.

Cell: 5.7451 5.7451 5.7451 Å, 90.00 90.00 90.00°
Sites, in units of the cell vectors:
Li  0.0000  0.0000  0.0000
Li  0.0000  0.5000  0.5000
Li  0.5000  0.0000  0.5000
Li  0.5000  0.5000  0.0000
Ge  0.2500  0.2500  0.7500
Ge  0.2500  0.7500  0.2500
Ge  0.7500  0.2500  0.2500
Ge  0.7500  0.7500  0.7500
Ir  0.0000  0.0000  0.5000
Ir  0.0000  0.5000  0.0000
Ir  0.5000  0.0000  0.0000
Ir  0.5000  0.5000  0.5000

E_form in eV/atom: -0.2802